# 1
A geometry-optimized V2CrTc structure. Source: Alexandria, functional PBE.

```
8
Lattice="6.605 0.000 0.000 0.000 6.605 0.000 3.302 3.302 2.570" Properties=species:S:1:pos:R:3 pbc="T T T"
Cr 3.302 3.302 0.000
Cr 3.302 6.605 1.285
Tc 0.000 0.000 0.000
Tc 6.605 3.302 1.285
V 4.897 1.651 0.643
V 1.708 4.954 0.643
V 4.954 5.011 1.928
V 8.256 8.199 1.928
```

* DFT formation energy: 0.50 eV/atom
* energy above the lowest structure with this stoichiometry: 745.3 meV per atom
* symmetry: I-42d, No. 122



# 2
A geometry-optimized V5Cr6Tc structure. Source: Alexandria, functional PBE.

```
12
Lattice="4.048 0.002 -0.846 -0.003 5.849 -0.001 -0.754 0.000 6.494" Properties=species:S:1:pos:R:3 pbc="T T T"
Cr 2.867 4.385 3.619
Cr 2.869 1.467 3.619
Cr 2.023 1.479 -0.423
Cr 2.022 4.372 -0.423
Cr 0.422 4.383 2.029
Cr 0.424 1.466 2.029
Tc 0.000 0.000 0.000
V 2.445 2.926 1.597
V 0.841 5.849 4.032
V -0.001 2.924 0.000
V 2.450 0.001 1.616
V 0.846 2.925 4.051
```

* DFT formation energy: -0.12 eV/atom
* symmetry: Cmmm, No. 65



# 3
A geometry-optimized V7Cr2Tc2 structure. Source: Alexandria, functional PBE.

```
11
Lattice="-3.416 -1.365 -2.172 4.662 -2.152 -3.305 0.608 -4.222 4.370" Properties=species:S:1:pos:R:3 pbc="T T T"
V 1.889 -4.972 2.295
V -2.097 -3.819 0.501
V -0.035 -2.767 -3.402
V 3.951 -3.919 -1.608
V 1.341 -2.867 -0.065
V 0.000 0.000 0.000
V 0.514 -4.872 -1.042
Cr -0.162 -4.426 1.509
Cr 2.017 -3.313 -2.617
Tc 3.009 -5.611 0.076
Tc -1.155 -2.127 -1.184
```

* DFT formation energy: 0.11 eV/atom
* symmetry: C2/m, No. 12



# 4
A geometry-optimized V3CrTc structure. Source: Alexandria, functional PBE.

```
5
Lattice="4.234 0.000 0.000 0.000 4.234 0.000 0.000 0.000 4.234" Properties=species:S:1:pos:R:3 pbc="T T T"
Cr 0.000 0.000 0.000
Tc 2.117 2.117 2.117
V 0.000 2.117 0.000
V 0.000 0.000 2.117
V 2.117 0.000 0.000
```

* DFT formation energy: 0.97 eV/atom
* energy above the lowest structure with this stoichiometry: 1200.0 meV per atom
* symmetry: Pm-3m, No. 221



# 5
A geometry-optimized V8CrTc2 structure. Source: Alexandria, functional PBE.

```
11
Lattice="4.108 0.000 -1.183 -0.926 6.046 -3.215 -0.271 -0.912 6.782" Properties=species:S:1:pos:R:3 pbc="T T T"
V 1.596 4.336 -2.182
V 0.595 2.906 2.064
V 0.618 0.264 2.146
V -0.051 1.370 -0.176
V 2.293 4.870 0.239
V 2.317 2.228 0.320
V 1.315 0.798 4.567
V 2.962 3.763 2.561
Cr 2.054 0.000 -0.592
Tc -0.105 3.875 -0.366
Tc 3.017 1.259 2.751
```

* DFT formation energy: 0.12 eV/atom
* energy above the lowest structure with this stoichiometry: 294.4 meV per atom
* symmetry: C2/m, No. 12



# 6
A geometry-optimized VCr2Tc3 structure. Source: Alexandria, functional PBE.

```
6
Lattice="-2.584 -0.148 -1.505 0.217 -2.985 -0.080 -4.487 -0.534 7.754" Properties=species:S:1:pos:R:3 pbc="T T T"
V -3.427 -1.834 3.084
Cr -4.929 -2.012 5.679
Cr -1.925 -1.655 0.489
Tc 0.000 0.000 0.000
Tc -2.999 -0.357 5.183
Tc -1.488 -0.177 2.571
```

* DFT formation energy: -0.07 eV/atom
* symmetry: P4/mmm, No. 123



# 7
A geometry-optimized V4CrTc structure. Source: Alexandria, functional PBE.

```
6
Lattice="4.031 0.000 0.000 0.000 4.032 0.000 0.005 0.008 5.779" Properties=species:S:1:pos:R:3 pbc="T T T"
V 2.021 4.022 1.497
V 2.025 4.028 4.261
V 0.009 2.012 4.261
V 0.006 2.005 1.497
Cr 0.008 4.025 2.879
Tc 2.026 2.013 5.769
```

* DFT formation energy: 0.54 eV/atom
* energy above the lowest structure with this stoichiometry: 741.8 meV per atom
* symmetry: C2/m, No. 12



# 8
A geometry-optimized V6CrTc structure. Source: Alexandria, functional PBE.

```
8
Lattice="6.734 0.010 -0.003 3.361 5.839 -0.024 3.366 1.961 2.741" Properties=species:S:1:pos:R:3 pbc="T T T"
V 10.951 4.407 2.051
V 7.565 1.486 2.064
V 5.049 1.969 0.667
V 5.897 6.324 0.650
V 2.511 3.402 0.663
V 8.413 5.840 2.047
Cr 6.731 3.905 1.357
Tc 0.000 0.000 0.000
```

* DFT formation energy: -0.06 eV/atom
* energy above the lowest structure with this stoichiometry: 75.3 meV per atom
* symmetry: Pm-3, No. 200



# 9
A geometry-optimized V8CrTc2 structure. Source: Alexandria, functional PBE.

```
11
Lattice="4.288 0.000 0.000 0.000 4.888 0.840 -2.144 -1.249 6.813" Properties=species:S:1:pos:R:3 pbc="T T T"
V 0.000 1.686 6.075
V 2.144 4.016 3.211
V 2.144 3.075 5.657
V 2.144 0.178 6.431
V 0.000 0.565 1.997
V 0.000 -0.377 4.443
V 2.144 1.953 1.579
V 0.000 3.461 1.222
Cr 2.144 0.000 0.000
Tc 2.144 1.071 4.039
Tc 0.000 2.568 3.615
```

* DFT formation energy: -0.17 eV/atom
* energy above the lowest structure with this stoichiometry: 0.0 meV per atom
* symmetry: C2/m, No. 12



# 10
A geometry-optimized VCr14Tc structure. Source: Alexandria, functional PBE.

```
16
Lattice="-2.051 4.353 1.346 1.414 -2.489 4.095 7.359 3.581 -0.364" Properties=species:S:1:pos:R:3 pbc="T T T"
V 4.660 0.156 3.569
Cr 0.981 -1.634 3.751
Cr -0.752 1.787 2.377
Cr 3.953 1.401 1.522
Cr 0.274 -0.389 1.704
Cr 3.635 2.333 4.242
Cr -0.045 0.543 4.424
Cr 4.962 4.020 0.732
Cr 1.215 2.197 0.918
Cr 4.641 4.958 3.472
Cr 0.894 3.135 3.657
Cr 5.659 2.766 2.793
Cr 1.936 0.955 2.977
Cr 3.920 6.200 1.413
Cr 0.197 4.388 1.597
Tc 2.928 3.577 2.195
```

* DFT formation energy: -0.03 eV/atom
* symmetry: Cmmm, No. 65



# 11
A geometry-optimized V3CrTc4 structure. Source: Alexandria, functional PBE.

```
8
Lattice="3.013 0.000 0.000 0.000 3.013 0.000 0.000 0.000 12.063" Properties=species:S:1:pos:R:3 pbc="T T T"
Cr 1.507 1.507 0.000
Tc 0.000 0.000 10.575
Tc 0.000 0.000 1.488
Tc 0.000 0.000 4.512
Tc 0.000 0.000 7.551
V 1.507 1.507 3.004
V 1.507 1.507 6.031
V 1.507 1.507 9.059
```

* DFT formation energy: -0.26 eV/atom
* symmetry: P4/mmm, No. 123



# 12
A geometry-optimized V3CrTc structure. Source: Alexandria, functional PBE.

```
10
Lattice="-2.870 -3.672 2.294 1.113 -1.520 4.840 -4.270 2.509 4.557" Properties=species:S:1:pos:R:3 pbc="T T T"
V -1.495 -1.970 6.723
V -3.538 -3.079 5.427
V -2.074 -1.199 4.243
V -3.962 -1.489 7.441
V -2.486 0.393 6.276
V -4.524 -0.703 4.962
Cr -0.591 -1.724 2.381
Cr -5.435 -0.958 9.309
Tc -3.383 1.488 4.032
Tc -2.644 -4.171 7.659
```

* DFT formation energy: 0.36 eV/atom
* energy above the lowest structure with this stoichiometry: 589.9 meV per atom
* symmetry: R32, No. 155



# 13
A geometry-optimized VCr2Tc structure. Source: Alexandria, functional PBE.

```
4
Lattice="2.957 0.000 0.000 0.000 4.160 0.000 0.000 0.000 4.160" Properties=species:S:1:pos:R:3 pbc="T T T"
Cr 0.000 0.000 2.080
Cr 0.000 2.080 0.000
Tc 1.478 2.080 2.080
V 1.478 0.000 0.000
```

* DFT formation energy: -0.09 eV/atom
* energy above the lowest structure with this stoichiometry: 3.5 meV per atom
* symmetry: P4/mmm, No. 123



# 14
A geometry-optimized V3CrTc structure. Source: Alexandria, functional PBE.

```
10
Lattice="4.108 0.000 0.939 0.000 4.205 0.000 0.396 0.000 7.725" Properties=species:S:1:pos:R:3 pbc="T T T"
V 3.210 1.051 1.542
V 1.897 1.051 7.285
V 2.555 1.051 4.408
V 1.161 3.153 1.049
V 3.957 3.153 7.731
V 0.504 3.153 3.926
Cr 2.221 3.153 5.870
Cr 0.838 1.051 2.464
Tc 2.888 3.153 2.950
Tc 4.278 1.051 6.322
```

* DFT formation energy: -0.23 eV/atom
* energy above the lowest structure with this stoichiometry: 0.0 meV per atom
* symmetry: Cmcm, No. 63



# 15
A geometry-optimized V4CrTc structure. Source: Alexandria, functional PBE.

```
6
Lattice="2.972 -0.001 0.000 0.001 2.972 0.000 -0.001 -0.001 8.974" Properties=species:S:1:pos:R:3 pbc="T T T"
V 1.486 1.485 7.460
V 1.486 1.486 1.514
V 2.972 2.971 5.909
V 0.000 0.000 3.065
Cr 1.486 1.486 4.487
Tc 0.000 0.000 0.000
```

* DFT formation energy: -0.20 eV/atom
* energy above the lowest structure with this stoichiometry: 0.0 meV per atom
* symmetry: P4/mmm, No. 123



# 16
A geometry-optimized V12Cr6Tc structure. Source: Alexandria, functional PBE.

```
19
Lattice="6.291 0.566 0.678 -0.394 6.304 0.678 -0.394 -0.459 6.324" Properties=species:S:1:pos:R:3 pbc="T T T"
V 4.740 3.538 3.564
V 2.123 5.121 4.118
V 2.778 2.574 5.774
V 0.763 2.874 4.116
V 3.380 1.290 3.563
V 2.725 3.837 1.906
V 0.184 0.740 2.578
V 4.800 3.927 6.930
V 3.154 5.864 6.492
V 5.318 5.672 5.102
V 0.703 2.484 0.750
V 2.348 0.547 1.188
Cr 4.167 5.833 2.808
Cr 4.434 2.031 1.439
Cr 0.369 4.542 2.256
Cr 1.335 0.578 4.872
Cr 1.069 4.380 6.241
Cr 5.134 1.869 5.425
Tc 0.000 0.000 0.000
```

* DFT formation energy: 0.15 eV/atom
* symmetry: R-3, No. 148



# 17
A geometry-optimized VCr6Tc structure. Source: Alexandria, functional PBE.

```
8
Lattice="3.970 -0.226 0.974 1.007 3.847 0.974 -0.646 -0.470 6.740" Properties=species:S:1:pos:R:3 pbc="T T T"
V 2.165 1.576 4.344
Cr 2.433 3.191 6.152
Cr 3.785 1.333 6.152
Cr 0.546 1.818 2.536
Cr 1.898 -0.040 2.536
Cr 3.038 2.211 1.812
Cr 1.293 0.941 6.876
Tc 0.000 0.000 0.000
```

* DFT formation energy: 0.58 eV/atom
* symmetry: C2/m, No. 12



# 18
A geometry-optimized V6CrTc2 structure. Source: Alexandria, functional PBE.

```
9
Lattice="-1.874 -3.786 0.516 -1.171 -2.276 -3.401 6.891 -3.422 -0.083" Properties=species:S:1:pos:R:3 pbc="T T T"
V 2.638 -8.884 -2.952
V 0.909 -2.977 -0.985
V 2.936 -6.508 -1.982
V 3.177 -4.102 -1.012
V 0.668 -5.382 -1.955
V 1.208 -0.600 -0.015
Cr 3.445 -1.711 -0.041
Tc 5.472 -5.242 -1.039
Tc -1.626 -4.242 -1.928
```

* DFT formation energy: -0.17 eV/atom
* energy above the lowest structure with this stoichiometry: 0.0 meV per atom
* symmetry: P-3m1, No. 164



# 19
A geometry-optimized V8Cr2Tc structure. Source: Alexandria, functional PBE.

```
11
Lattice="-3.644 -1.571 3.057 2.155 -5.208 0.997 2.314 1.942 4.862" Properties=species:S:1:pos:R:3 pbc="T T T"
V -1.046 -0.415 5.238
V 1.954 -0.720 5.678
V -2.140 -2.491 4.697
V 2.965 -2.346 4.219
V -1.129 -4.117 3.237
V 1.871 -4.422 3.677
V 0.579 -1.911 3.511
V 0.246 -2.926 5.404
Cr -1.343 -1.296 2.453
Cr 2.168 -3.541 6.462
Tc 0.000 0.000 0.000
```

* DFT formation energy: 0.55 eV/atom
* symmetry: C2/m, No. 12



# 20
A geometry-optimized V4CrTc3 structure. Source: Alexandria, functional PBE.

```
8
Lattice="3.002 0.000 0.000 0.000 3.002 0.000 0.000 0.000 12.002" Properties=species:S:1:pos:R:3 pbc="T T T"
Cr 1.501 1.501 0.000
Tc 1.501 1.501 2.961
Tc 1.501 1.501 6.001
Tc 1.501 1.501 9.041
V 0.000 0.000 10.571
V 0.000 0.000 1.431
V 0.000 0.000 4.472
V 0.000 0.000 7.530
```

* DFT formation energy: -0.31 eV/atom
* symmetry: P4/mmm, No. 123



# 21
A geometry-optimized VCrTc3 structure. Source: Alexandria, functional PBE.

```
5
Lattice="-1.323 -4.166 -0.389 3.759 -1.362 1.808 -1.837 0.212 3.979" Properties=species:S:1:pos:R:3 pbc="T T T"
Cr 0.000 0.000 0.000
Tc 1.879 -0.681 0.904
Tc -0.918 0.106 1.990
Tc -0.661 -2.083 -0.195
V 0.300 -2.658 2.699
```

* DFT formation energy: 1.15 eV/atom
* energy above the lowest structure with this stoichiometry: 0.0 meV per atom
* symmetry: Pm-3m, No. 221



# 22
A geometry-optimized V2Cr2Tc3 structure. Source: Alexandria, functional PBE.

```
7
Lattice="4.089 0.000 0.543 -0.031 2.618 0.235 0.877 0.943 9.072" Properties=species:S:1:pos:R:3 pbc="T T T"
V 3.075 1.838 8.189
V 1.860 1.723 1.660
Cr 3.412 2.167 5.651
Cr 1.524 1.394 4.198
Tc 3.738 0.647 3.188
Tc 0.000 0.000 0.000
Tc 1.197 2.913 6.661
```

* DFT formation energy: -0.01 eV/atom
* symmetry: C2/m, No. 12



# 23
A geometry-optimized V5Cr4Tc structure. Source: Alexandria, functional PBE.

```
10
Lattice="-1.125 -2.546 -0.943 1.702 -1.457 1.902 -10.580 0.910 10.161" Properties=species:S:1:pos:R:3 pbc="T T T"
V -0.825 -1.906 1.549
V -2.910 -1.726 3.551
V -5.001 -1.546 5.560
V -7.093 -1.367 7.568
V -9.178 -1.187 9.571
Cr -2.155 0.185 2.069
Cr -4.246 0.365 4.078
Cr -6.333 0.545 6.082
Cr -8.425 0.724 8.092
Tc 0.000 0.000 0.000
```

* DFT formation energy: -0.15 eV/atom
* symmetry: P4/mmm, No. 123



These records have uncorrected energy values of -0.3329 -0.3526 -0.3427 -0.3123 -0.3407 -0.3668 -0.3258 -0.3455 -0.3515 -0.3552 -0.3698 -0.3348 -0.3593 -0.3564 -0.3531 -0.3378 -0.3333 -0.3537 -0.3225 -0.3659 -0.3241 -0.3605 -0.3527 hartree per atom, in the order they appear.